[1]
Pr2Mn2C3 GGA-PBE optimized geometry; calculated volume = 101 Å³/cell; polymorph energy (0 for the lowest one) = 0.0 meV/atom; ρ = 7.0 Mg/m³; size of the total moment = 0.0 Bohr magnetons per cell
1.0
5.0956 -1.7851 0.0000
5.0956 1.7851 0.0000
-1.4069 0.0000 5.5613
Pr Mn C
2 2 3
Direct
0.1018 0.1018 0.3158 Pr
0.8982 0.8982 0.6842 Pr
0.3397 0.3397 0.0959 Mn
0.6603 0.6603 0.9041 Mn
0.1971 0.1971 0.7990 C
0.5000 0.5000 0.0000 C
0.8029 0.8029 0.2010 C

[2]
Ta3V2W6 GGA-PBE optimized geometry; calculated volume = 182 Å³/cell; ρ = 15.9 Mg/m³; size of the total moment = 0.0 Bohr magnetons per cell
1.0
3.1723 0.0000 0.0000
0.0000 4.5586 0.0000
-0.6686 0.0000 12.5857
Ta V W
3 2 6
Direct
0.0000 0.0000 0.0000 Ta
0.2295 0.0000 0.4054 Ta
0.7705 0.0000 0.5946 Ta
0.3119 0.5000 0.9239 V
0.6881 0.5000 0.0761 V
0.1859 0.5000 0.2324 W
0.2695 0.5000 0.5913 W
0.3201 0.0000 0.7822 W
0.6799 0.0000 0.2178 W
0.7305 0.5000 0.4087 W
0.8141 0.5000 0.7676 W

ΔH_f (0 K) values, unit kcal/mol of atoms, following the record order: -4.15, 3.65.
D(E_F) values, unit states/eV/f.u., following the record order: 5.5, 7.6.